--- P ---
# ZrSc2Ag2 PBE optimized geometry
data_ZrSc2Ag2
_space_group_name_H-M_alt 'P 4/m b m'
_space_group_IT_number 127
_space_group_name_Hall '-P 4 2ab'
_cell_length_a 8.073
_cell_length_b 8.073
_cell_length_c 3.220
_cell_angle_alpha 90.00
_cell_angle_beta 90.00
_cell_angle_gamma 90.00
loop_
_atom_site_label
_atom_site_type_symbol
_atom_site_fract_x
_atom_site_fract_y
_atom_site_fract_z
Zr1 Zr 0.000 0.000 0.000
Sc1 Sc 0.150 0.350 0.000
Ag1 Ag 0.147 0.647 0.500
# crystal system	tetragonal

---

--- Q ---
# ZrSc2Ag2 PBE optimized geometry
data_ZrSc2Ag2
_space_group_name_H-M_alt 'C m m m'
_space_group_IT_number 65
_space_group_name_Hall '-C 2 2'
_cell_length_a 4.604
_cell_length_b 14.430
_cell_length_c 3.232
_cell_angle_alpha 90.00
_cell_angle_beta 90.00
_cell_angle_gamma 90.00
loop_
_atom_site_label
_atom_site_type_symbol
_atom_site_fract_x
_atom_site_fract_y
_atom_site_fract_z
Zr1 Zr 0.000 0.000 0.000
Sc1 Sc 0.000 0.385 0.500
Ag1 Ag 0.000 0.197 0.000
# crystal system	orthorhombic

---

--- R ---
# ZrSc2Ag2 PBE optimized geometry
data_ZrSc2Ag2
_space_group_name_H-M_alt 'P 4/m b m'
_space_group_IT_number 127
_space_group_name_Hall '-P 4 2ab'
_cell_length_a 7.977
_cell_length_b 7.977
_cell_length_c 3.345
_cell_angle_alpha 90.00
_cell_angle_beta 90.00
_cell_angle_gamma 90.00
loop_
_atom_site_label
_atom_site_type_symbol
_atom_site_fract_x
_atom_site_fract_y
_atom_site_fract_z
Zr1 Zr 0.000 0.000 0.000
Sc1 Sc 0.170 0.330 0.500
Ag1 Ag 0.128 0.628 0.000
# crystal system	tetragonal

---

R wins, 2.2 kJ/mol of atoms ahead of the next structure.